Material: BaInBr
Method: DFT, SCAN
State: single point on PBEsol structure

```
BaInBr
1.0
-1.6415 1.3908 4.9216
-3.5570 -3.0634 2.6103
1.5508 -2.8782 4.2617
Br Ba In
1 1 1
direct
0.2500 0.2500 0.2500 Br
0.5000 0.5000 0.5000 Ba
0.0000 0.0000 0.0000 In
```

Properties
Space group ... F-43m
Formation energy from raw total energies ... -805 meV/atom
Energy above the most stable polymorph in this dataset ... 0.31 kcal/mol of atoms
Total magnetic moment ... 0.00 Bohr magnetons per cell